Below is crystalline PrNdHoLu at its relaxed geometry, with properties calculated at the PBE level.

Cell: 5.7239 5.7239 5.7239 Å, 60.00 60.00 60.00°
Last column: nearest neighbours and their distance in Å.
Fractional coordinates of all 4 atoms:
Pr 0.7500 0.7500 0.7500  4 Ho 3.51, 4 Lu 3.51
Lu 0.5000 0.5000 0.5000  4 Pr 3.51, 4 Nd 3.51
Nd 0.2500 0.2500 0.2500  4 Lu 3.51, 4 Ho 3.51
Ho 0.0000 0.0000 0.0000  4 Nd 3.51, 4 Pr 3.51

Computed properties:
The density of states at the Fermi level is 1.655 states/eV/atom. The calculation puts the formation energy at 0.093 eV per atom.